Entry 1:
{
  "formula": "Pm4Pr5Sm3",
  "functional": "PBE-GGA",
  "state": "optimized geometry",
  "cell": [[6.363, 0.000, 0.000], [-0.007, 7.336, 0.000], [-0.017, -0.002, 9.005]],
  "species": ["Pm", "Pm", "Pm", "Pm", "Pr", "Pr", "Pr", "Pr", "Pr", "Sm", "Sm", "Sm"],
  "frac_coords": [[0.166, 0.250, 0.166], [0.333, 0.500, 0.835], [0.667, 0.500, 0.165], [0.834, 0.750, 0.834], [0.000, 0.500, 0.500], [0.332, 0.000, 0.834], [0.500, 0.250, 0.500], [0.500, 0.750, 0.500], [0.668, 0.000, 0.166], [0.000, 0.000, 0.500], [0.167, 0.749, 0.166], [0.833, 0.251, 0.834]],
  "spacegroup": "P-1",
  "relative_energy_ev_per_atom": 0.000,
  "formation_energy_mev_per_atom": 12
}

---

Entry 2:
{
  "formula": "RbBa2Hg2Bi2",
  "functional": "PBE-GGA",
  "state": "optimized geometry",
  "cell": [[2.864, 1.653, 10.690], [-2.864, 1.653, 10.690], [0.000, -3.307, 10.690]],
  "species": ["Rb", "Ba", "Ba", "Hg", "Hg", "Bi", "Bi"],
  "frac_coords": [[0.000, 0.000, 0.000], [0.131, 0.131, 0.131], [0.869, 0.869, 0.869], [0.443, 0.443, 0.443], [0.557, 0.557, 0.557], [0.250, 0.250, 0.250], [0.750, 0.750, 0.750]],
  "spacegroup": "R-3m",
  "formation_energy_mev_per_atom": -474
}

---

Entry 3:
{
  "formula": "ReNi5",
  "functional": "PBE-GGA",
  "state": "optimized geometry",
  "cell": [[4.382, 0.000, 0.000], [-2.191, 3.795, 0.000], [0.000, 0.000, 4.137]],
  "species": ["Re", "Ni", "Ni", "Ni", "Ni", "Ni"],
  "frac_coords": [[0.000, 0.000, 0.000], [0.000, 0.666, 0.500], [0.333, 0.667, 0.000], [0.334, 0.334, 0.500], [0.666, 0.000, 0.500], [0.667, 0.333, 0.000]],
  "spacegroup": "P-62m",
  "relative_energy_ev_per_atom": 0.000,
  "formation_energy_mev_per_atom": -6
}

---

Entry 4:
{
  "formula": "SmCrTc",
  "functional": "PBE-GGA",
  "state": "optimized geometry",
  "cell": [[6.878, 0.000, 0.000], [0.000, 6.878, 0.000], [0.000, 0.000, 5.697]],
  "species": ["Sm", "Sm", "Sm", "Sm", "Cr", "Cr", "Cr", "Cr", "Tc", "Tc", "Tc", "Tc"],
  "frac_coords": [[0.235, 0.235, 0.000], [0.265, 0.735, 0.250], [0.735, 0.265, 0.750], [0.765, 0.765, 0.500], [0.066, 0.066, 0.500], [0.434, 0.566, 0.750], [0.566, 0.434, 0.250], [0.934, 0.934, 0.000], [0.178, 0.822, 0.750], [0.322, 0.322, 0.500], [0.678, 0.678, 0.000], [0.822, 0.178, 0.250]],
  "spacegroup": "P4_12_12",
  "formation_energy_mev_per_atom": 620
}

---

Entry 5:
{
  "formula": "GaCoGePt",
  "functional": "PBE-GGA",
  "state": "optimized geometry",
  "cell": [[2.745, 0.000, 0.000], [0.000, 1.742, 6.237], [0.000, -1.742, 6.237]],
  "species": ["Ga", "Co", "Ge", "Pt"],
  "frac_coords": [[0.000, 0.000, 0.000], [0.500, 0.582, 0.582], [0.000, 0.737, 0.737], [0.500, 0.356, 0.356]],
  "spacegroup": "Amm2",
  "relative_energy_ev_per_atom": 0.077,
  "formation_energy_mev_per_atom": -237
}

---

Entry 6:
{
  "formula": "NpAsS",
  "functional": "PBE-GGA",
  "state": "optimized geometry",
  "cell": [[4.106, 0.000, 0.000], [-2.053, 3.556, 0.000], [0.000, 0.000, 6.091]],
  "species": ["Np", "As", "S"],
  "frac_coords": [[0.000, 0.000, 0.000], [0.333, 0.667, 0.761], [0.667, 0.333, 0.195]],
  "spacegroup": "P3m1",
  "raw_formation_energy_ev_per_atom": -0.52
}

---

Entry 7:
{
  "formula": "CdIn2F5",
  "functional": "PBE-GGA",
  "state": "optimized geometry",
  "cell": [[8.379, 0.000, 0.000], [0.000, 12.111, 0.000], [0.000, 0.000, 5.920]],
  "species": ["Cd", "Cd", "Cd", "Cd", "In", "In", "In", "In", "In", "In", "In", "In", "F", "F", "F", "F", "F", "F", "F", "F", "F", "F", "F", "F", "F", "F", "F", "F", "F", "F", "F", "F"],
  "frac_coords": [[0.000, 0.071, 0.250], [0.000, 0.929, 0.750], [0.500, 0.429, 0.750], [0.500, 0.571, 0.250], [0.115, 0.353, 0.553], [0.115, 0.647, 0.053], [0.385, 0.147, 0.053], [0.385, 0.853, 0.553], [0.615, 0.147, 0.447], [0.615, 0.853, 0.947], [0.885, 0.353, 0.947], [0.885, 0.647, 0.447], [0.000, 0.430, 0.250], [0.000, 0.570, 0.750], [0.158, 0.057, 0.940], [0.158, 0.943, 0.440], [0.174, 0.210, 0.332], [0.174, 0.790, 0.832], [0.326, 0.290, 0.832], [0.326, 0.710, 0.332], [0.342, 0.443, 0.440], [0.342, 0.557, 0.940], [0.500, 0.070, 0.750], [0.500, 0.930, 0.250], [0.658, 0.443, 0.060], [0.658, 0.557, 0.560], [0.674, 0.290, 0.668], [0.674, 0.710, 0.168], [0.826, 0.210, 0.168], [0.826, 0.790, 0.668], [0.842, 0.057, 0.560], [0.842, 0.943, 0.060]],
  "spacegroup": "Pbcn",
  "raw_formation_energy_ev_per_atom": -2.02
}

---

Entry 8:
{
  "formula": "LaHgPd",
  "functional": "PBE-GGA",
  "state": "optimized geometry",
  "cell": [[13.713, 0.000, 0.000], [0.000, 4.031, 0.000], [0.000, 0.000, 7.934]],
  "species": ["La", "La", "La", "La", "La", "La", "Hg", "Hg", "Hg", "Hg", "Hg", "Hg", "Pd", "Pd", "Pd", "Pd", "Pd", "Pd"],
  "frac_coords": [[0.050, 0.000, 0.241], [0.250, 0.000, 0.839], [0.450, 0.000, 0.241], [0.550, 0.000, 0.759], [0.750, 0.000, 0.161], [0.950, 0.000, 0.759], [0.114, 0.500, 0.570], [0.250, 0.500, 0.189], [0.386, 0.500, 0.570], [0.614, 0.500, 0.430], [0.750, 0.500, 0.811], [0.886, 0.500, 0.430], [0.095, 0.500, 0.938], [0.250, 0.000, 0.447], [0.405, 0.500, 0.938], [0.595, 0.500, 0.062], [0.750, 0.000, 0.553], [0.905, 0.500, 0.062]],
  "spacegroup": "Pmma",
  "relative_energy_ev_per_atom": 0.018,
  "formation_energy_mev_per_atom": -710
}